(1)
First-principles (PBEsol) data for a geometry-optimized Zr2ReRhCl structure, as listed in the Alexandria database.

Values from the calculation:
- density (Mg/m³) = 7.6
- D(E_F) (states/eV per cell) = 4.2
- uncorrected formation energy (meV/atom) = 910

abc: 5.0290 5.0290 4.3546
angles: 90.00 90.00 90.00
With the nearest neighbours (Å) after each atom.
Space group P4/mmm (No. 123)
Inequivalent atoms, fractional coordinates:
Zr: 0.0000 0.5000 0.0000  2 Re 2.51
Re: 0.0000 0.0000 0.0000  2 Cl 2.18
Rh: 0.5000 0.5000 0.5000  8 Zr 3.33, 4 Cl 3.56
Cl: 0.0000 0.0000 0.5000  2 Re 2.18


(2)
First-principles (PBEsol) data for a geometry-optimized ReRuCl2 structure, as listed in the Alexandria database.

Values from the calculation:
- density (Mg/m³) = 10.8
- D(E_F) (states/eV per cell) = 4.2
- uncorrected formation energy (meV/atom) = 1249

abc: 4.2735 4.2735 3.0199
angles: 90.00 90.00 90.00
With the nearest neighbours (Å) after each atom.
Space group P4/mmm (No. 123)
Inequivalent atoms, fractional coordinates:
Re: 0.0000 0.0000 0.0000  8 Cl 2.62
Ru: 0.5000 0.5000 0.0000  8 Cl 2.62
Cl: 0.0000 0.5000 0.5000  4 Ru 2.62, 4 Re 2.62


(3)
First-principles (PBEsol) data for a geometry-optimized Re2RuCl structure, as listed in the Alexandria database.

Values from the calculation:
- energy above the most stable polymorph in this dataset (kJ/mol of formula units) = 0.0
- density (Mg/m³) = 14.4
- D(E_F) (states/eV per cell) = 4.9
- uncorrected formation energy (meV/atom) = 676

abc: 9.4218 2.8017 4.4405
angles: 90.00 90.58 90.00
With the nearest neighbours (Å) after each atom.
Space group Cm (No. 8)
Inequivalent atoms, fractional coordinates:
Re: 0.0000 0.0000 0.0000  2 Cl 2.36
Re: 0.2093 0.5000 0.7405  1 Cl 2.41, 2 Ru 2.57, 2 Re 2.69
Ru: 0.2751 0.0000 0.2078  1 Cl 2.32, 2 Re 2.57
Cl: 0.4988 0.0000 0.4288  1 Ru 2.32, 3 Re 2.36-2.41


(4)
First-principles (PBEsol) data for a geometry-optimized Re2RuCl structure, as listed in the Alexandria database.

Values from the calculation:
- energy above the most stable polymorph in this dataset (kJ/mol of formula units) = 132.9
- density (Mg/m³) = 14.6
- D(E_F) (states/eV per cell) = 11.7
- uncorrected formation energy (meV/atom) = 1021

abc: 6.1408 6.1408 6.1408
angles: 90.00 90.00 90.00
With the nearest neighbours (Å) after each atom.
Space group F-43m (No. 216)
Inequivalent atoms, fractional coordinates:
Re: 0.0000 0.0000 0.0000  4 Re 2.66, 4 Ru 2.66
Re: 0.2500 0.2500 0.2500  4 Cl 2.66, 4 Re 2.66
Ru: 0.2500 0.2500 0.7500  4 Cl 2.66, 4 Re 2.66
Cl: 0.0000 0.0000 0.5000  4 Ru 2.66, 4 Re 2.66


(5)
First-principles (PBEsol) data for a geometry-optimized ReRuSCl2 structure, as listed in the Alexandria database.

Values from the calculation:
- density (Mg/m³) = 6.4
- D(E_F) (states/eV per cell) = 7.5
- uncorrected formation energy (meV/atom) = 1097

abc: 4.7760 4.7760 4.4349
angles: 90.00 90.00 90.00
With the nearest neighbours (Å) after each atom.
Space group P4/mmm (No. 123)
Inequivalent atoms, fractional coordinates:
Re: 0.0000 0.0000 0.0000  2 S 2.22, 4 Cl 2.39
Ru: 0.5000 0.5000 0.5000  8 Cl 3.26, 4 S 3.38
S: 0.0000 0.0000 0.5000  2 Re 2.22
Cl: 0.0000 0.5000 0.0000  2 Re 2.39


(6)
First-principles (PBEsol) data for a geometry-optimized ReSeSCl2 structure, as listed in the Alexandria database.

Values from the calculation:
- density (Mg/m³) = 5.6
- D(E_F) (states/eV per cell) = 1.9
- uncorrected formation energy (meV/atom) = 1253

abc: 4.6094 4.6094 5.0934
angles: 90.00 90.00 90.00
With the nearest neighbours (Å) after each atom.
Space group P4/mmm (No. 123)
Inequivalent atoms, fractional coordinates:
Re: 0.0000 0.0000 0.0000  4 Se 3.26, 8 Cl 3.43
Se: 0.5000 0.5000 0.0000  2 S 2.55
S: 0.5000 0.5000 0.5000  4 Cl 2.30, 2 Se 2.55
Cl: 0.0000 0.5000 0.5000  2 S 2.30


(7)
First-principles (PBEsol) data for a geometry-optimized ReTcS2Cl structure, as listed in the Alexandria database.

Values from the calculation:
- density (Mg/m³) = 6.6
- D(E_F) (states/eV per cell) = 4.9
- uncorrected formation energy (meV/atom) = 1169

abc: 4.5486 4.5486 4.6991
angles: 90.00 90.00 90.00
With the nearest neighbours (Å) after each atom.
Space group P4/mmm (No. 123)
Inequivalent atoms, fractional coordinates:
Re: 0.0000 0.0000 0.0000  4 Cl 3.22, 8 S 3.27
Tc: 0.5000 0.5000 0.5000  4 S 2.27, 2 Cl 2.35
S: 0.0000 0.5000 0.5000  2 Tc 2.27
Cl: 0.5000 0.5000 0.0000  2 Tc 2.35


(8)
First-principles (PBEsol) data for a geometry-optimized ReTeSCl4 structure, as listed in the Alexandria database.

Values from the calculation:
- density (Mg/m³) = 4.1
- D(E_F) (states/eV per cell) = 0.0
- uncorrected formation energy (meV/atom) = -642

abc: 11.1499 11.1499 12.8047
angles: 90.00 90.00 90.00
With the nearest neighbours (Å) after each atom.
Space group I-4 (No. 82)
Inequivalent atoms, fractional coordinates:
Re: 0.0207 0.1194 0.4238  3 S 2.31-2.33, 2 Cl 2.44
Te: 0.1749 0.2976 0.3674  2 Cl 2.36
S: 0.0284 0.1650 0.5997  3 Re 2.31-2.33
Cl: 0.0412 0.1471 0.2357  1 Re 2.44
Cl: 0.0751 0.6849 0.4091  1 Re 2.44
Cl: 0.1123 0.7450 0.9773  1 Te 2.36
Cl: 0.1434 0.2994 0.8233  1 Te 2.36